P | VASP calculation (PBE) on an optimized crystal structure of TiNiIr3.

Calculated values
Space group = Pm-3m, No. 221

Cell lengths 4.4269, 4.4269, 4.4269 Å; angles 90.00, 90.00, 90.00 degrees
With the nearest neighbours (Å) after each atom.
Element x y z (fractional)
Ir1 0.0000 0.5000 0.0000  2 Ni 2.21
Ir2 0.0000 0.0000 0.5000  2 Ni 2.21
Ni1 0.0000 0.0000 0.0000  6 Ir 2.21
Ir3 0.5000 0.0000 0.0000  2 Ni 2.21
Ti1 0.5000 0.5000 0.5000  12 Ir 3.13

Q | VASP calculation (PBE) on an optimized crystal structure of TiNiIr3.

Calculated values
Space group = Pm-3m, No. 221

Cell lengths 4.5411, 4.5411, 4.5411 Å; angles 90.00, 90.00, 90.00 degrees
With the nearest neighbours (Å) after each atom.
Element x y z (fractional)
Ir1 0.5000 0.0000 0.0000  2 Ti 2.27
Ni1 0.5000 0.5000 0.5000  12 Ir 3.21
Ir2 0.0000 0.0000 0.5000  2 Ti 2.27
Ti1 0.0000 0.0000 0.0000  6 Ir 2.27
Ir3 0.0000 0.5000 0.0000  2 Ti 2.27

Relative stability in kJ/mol of atoms, measured from the most stable structure: P 0.0; Q 33.7